Record 1
Density functional theory data (PBE-GGA) for AcMgGe2Rh5 after structural relaxation.

Geometry as POSCAR:
```
AcMgGe2Rh5
1.0
-0.9134 4.1653 -1.8545
-3.6530 -1.8003 -2.2444
-4.4477 1.6562 5.9105
Ac Mg Ge Rh
1 1 2 5
Direct
0.0000 0.0000 0.5000 Ac
0.0000 0.0000 0.0000 Mg
0.5000 0.5000 0.1719 Ge
0.5000 0.5000 0.8281 Ge
0.0000 0.5000 0.2200 Rh
0.5000 0.0000 0.2200 Rh
0.0000 0.5000 0.7800 Rh
0.5000 0.0000 0.7800 Rh
0.5000 0.5000 0.5000 Rh
```

Calculated values
energy	-0.4530	Ry/atom

Record 2
Density functional theory data (PBE-GGA) for AcMgGe2Ru after structural relaxation.

Geometry as POSCAR:
```
AcMgGe2Ru
1.0
4.2951 0.0000 0.0000
0.0000 4.2951 0.0000
-2.1475 -2.1475 5.7503
Ac Mg Ge Ru
1 1 2 1
Direct
0.0000 0.0000 0.0000 Ac
0.7500 0.2500 0.5000 Mg
0.6215 0.6215 0.2431 Ge
0.3785 0.3785 0.7569 Ge
0.2500 0.7500 0.5000 Ru
```

Calculated values
energy	-0.3898	Ry/atom

Record 3
Density functional theory data (PBE-GGA) for AcMgScGe2 after structural relaxation.

Geometry as POSCAR:
```
AcMgScGe2
1.0
4.4654 0.0000 0.0000
0.0000 4.4654 0.0000
-2.2327 -2.2327 6.0652
Ac Mg Sc Ge
1 1 1 2
Direct
0.0000 0.0000 0.0000 Ac
0.7500 0.2500 0.5000 Mg
0.2500 0.7500 0.5000 Sc
0.6138 0.6138 0.2277 Ge
0.3862 0.3862 0.7723 Ge
```

Calculated values
energy	-0.3633	Ry/atom

Record 4
Density functional theory data (PBE-GGA) for AcMgSnGe after structural relaxation.

Geometry as POSCAR:
```
AcMgSnGe
1.0
-3.4839 0.5602 -4.0452
-4.6776 -2.6314 0.1025
-4.5800 2.6957 0.7562
Mg Ac Ge Sn
1 1 1 1
Direct
0.5000 0.5000 0.5000 Mg
0.0000 0.0000 0.0000 Ac
0.2500 0.2500 0.2500 Ge
0.7500 0.7500 0.7500 Sn
```

Calculated values
energy	-0.2857	Ry/atom

What did we get for size of the total moment? Answer: 0.0, 0.0, 0.0, 0.0 μB per formula unit, in the order shown.